Ac3Ho (PBE, relaxed); ΔH_f (0 K) = 67 meV per atom; volume = 41.49 Å³/atom; electronic total energy = -16.6 eV for the cell shown; total magnetization = 0.0 μB per formula unit
1.0
3.939 0.000 0.000
0.000 6.715 0.000
-1.969 -3.358 6.274
Ac Ho
3 1
direct
0.257 0.594 0.514
0.500 0.494 0.000
0.743 0.080 0.486
0.000 0.998 0.000